No. 1
A geometry-optimized PmZrCu structure, computed with PBE.

Calculated values
Energy = -5.3560 eV/atom
Formation energy = 0.31 eV per atom
Total magnetic moment = 1.05 μB/f.u.

Lattice parameters (Å, degrees): 6.6566 6.6566 6.6566 90.00 90.00 90.00
Space group F-43m (No. 216)
Unique sites:
Pm 0.0000 0.0000 0.0000 x4
Zr 0.0000 0.0000 0.5000 x4
Cu 0.2500 0.2500 0.2500 x4

***

No. 2
A geometry-optimized CuNiHgGe structure, computed with PBE.

Calculated values
Energy = -3.3748 eV/atom
Total magnetic moment = 0.00 μB/f.u.

Lattice parameters (Å, degrees): 6.2617 6.2617 6.2617 90.00 90.00 90.00
Space group F-43m (No. 216)
Unique sites:
Cu 0.0000 0.0000 0.0000 x4
Ni 0.0000 0.0000 0.5000 x4
Hg 0.2500 0.2500 0.2500 x4
Ge 0.2500 0.2500 0.7500 x4

***

No. 3
A geometry-optimized Li2Nb2SnGeOs2 structure, computed with PBE.

Calculated values
Energy = -7.2081 eV/atom
Total magnetic moment = 0.00 μB/f.u.

Lattice parameters (Å, degrees): 4.4140 4.4140 6.2785 90.00 90.00 90.00
Space group P-4m2 (No. 115)
Unique sites:
Li 0.0000 0.5000 0.2360 x2
Nb 0.0000 0.0000 0.0000 x1
Nb 0.5000 0.5000 0.5000 x1
Sn 0.0000 0.0000 0.5000 x1
Ge 0.5000 0.5000 0.0000 x1
Os 0.0000 0.5000 0.7585 x2

***

No. 4
A geometry-optimized TbPOsO structure, computed with PBE.

Calculated values
Energy = -6.4654 eV/atom
Total magnetic moment = 0.00 μB/f.u.

Lattice parameters (Å, degrees): 4.3128 4.3128 6.5263 90.00 90.00 90.00
Space group P4/nmm (No. 129, origin choice 2)
Unique sites:
Tb 0.2500 0.7500 0.0000 x2
P 0.2500 0.2500 0.2791 x2
Os 0.2500 0.2500 0.6334 x2
O 0.2500 0.7500 0.5000 x2

***

Please write out number 4 again, unchanged.
A geometry-optimized TbPOsO structure, computed with PBE.

Calculated values
Energy = -6.4654 eV/atom
Total magnetic moment = 0.00 μB/f.u.

Lattice parameters (Å, degrees): 4.3128 4.3128 6.5263 90.00 90.00 90.00
Space group P4/nmm (No. 129, origin choice 2)
Unique sites:
Tb 0.2500 0.7500 0.0000 x2
P 0.2500 0.2500 0.2791 x2
Os 0.2500 0.2500 0.6334 x2
O 0.2500 0.7500 0.5000 x2

***

> Look up the total magnetic moment of the first one.

1.05 μB/f.u.

***

> Which value of total magnetic moment does entry 4 give?

0.00 μB/f.u.